# CrAg3Mo, relaxed, DFT GGA-PBE
data_CrAg3Mo
_chemical_formula_sum 'Cr1 Ag3 Mo1'
_cell_length_a 4.779
_cell_length_b 4.779
_cell_length_c 4.779
_cell_angle_alpha 90.00
_cell_angle_beta 90.00
_cell_angle_gamma 90.00
_symmetry_space_group_name_H-M 'P 1'
_symmetry_Int_Tables_number 1
_symmetry_space_group_name_Hall 'P 1'
loop_
_atom_site_label
_atom_site_type_symbol
_atom_site_fract_x
_atom_site_fract_y
_atom_site_fract_z
Cr1 Cr 0.000 0.000 0.000
Ag1 Ag 0.000 0.000 0.500
Ag2 Ag 0.000 0.500 0.000
Ag3 Ag 0.500 0.000 0.000
Mo1 Mo 0.500 0.500 0.500
# Energy of formation: 1807 meV/atom
# Crystal system: cubic
# Final energy: -20.0 eV per cell
# Total magnetic moment: 4.55 μB per cell